Crystalline Ba2LiNi at its relaxed geometry. Source: the Alexandria database, functional PBE.

Calculated values
* ΔH_f (0 K): 222 meV/atom
* ρ: 4.4 g/cm3

abc: 3.8214 3.8214 8.8771
angles: 90.00 90.00 90.00
Last column: nearest neighbours and their distance in Å.
Sites, in units of the cell vectors:
Ba 0.0000 0.0000 0.0000  1 Li 2.89
Ba 0.5000 0.5000 0.4279  1 Ni 3.00
Li 0.0000 0.0000 0.6741  4 Ni 2.82, 1 Ba 2.89
Ni 0.5000 0.5000 0.7656  4 Li 2.82, 1 Ba 3.00